[1]
Here is a crystal of In2ReAs relaxed with PBEsol from Alexandria via LeMat-Bulk. Energies are from SCAN.

- DFT formation energy: 0.280 eV per atom

POSCAR file:
```
In2ReAs
1.0
4.221 0.000 0.000
0.000 1.786 5.068
0.000 -1.786 5.068
In Re As
2 1 1
direct
0.000 0.000 0.000
0.500 0.316 0.316
0.000 0.724 0.724
0.500 0.591 0.591
```

***

[2]
Here is a crystal of Ga3IrSe relaxed with PBEsol from Alexandria via LeMat-Bulk. Energies are from SCAN.

- E_form (uncorrected): -0.233 eV per atom

POSCAR file:
```
Ga3IrSe
1.0
4.754 0.000 0.000
0.000 4.754 0.000
0.000 0.000 4.754
Ga Ir Se
3 1 1
direct
0.000 0.000 0.500
0.000 0.500 0.000
0.500 0.000 0.000
0.000 0.000 0.000
0.500 0.500 0.500
```

***

[3]
Here is a crystal of Sc2ReW relaxed with PBEsol from Alexandria via LeMat-Bulk. Energies are from SCAN.

- DFT formation energy: 0.249 eV per atom

POSCAR file:
```
Sc2ReW
1.0
2.730 0.000 0.000
0.000 2.730 0.000
0.000 0.000 9.253
Sc Re W
2 1 1
direct
0.000 0.000 0.247
0.000 0.000 0.753
0.500 0.500 0.000
0.500 0.500 0.500
```

***

[4]
Here is a crystal of BaRe3H relaxed with PBEsol from Alexandria via LeMat-Bulk. Energies are from SCAN.

- VASP energy: -46.50 eV per atom

POSCAR file:
```
BaRe3H
1.0
4.996 0.000 0.000
0.000 4.996 0.000
0.000 0.000 4.996
Ba Re H
1 3 1
direct
0.000 0.000 0.000
0.000 0.000 0.500
0.000 0.500 0.000
0.500 0.000 0.000
0.500 0.500 0.500
```

***

[5]
Here is a crystal of Zr2BeZn relaxed with PBEsol from Alexandria via LeMat-Bulk. Energies are from SCAN.

- DFT formation energy: -0.158 eV per atom

POSCAR file:
```
Zr2BeZn
1.0
-1.594 2.243 4.647
1.594 -2.243 4.647
1.594 2.243 -4.647
Zr Be Zn
2 1 1
direct
0.000 0.000 0.000
0.726 0.226 0.500
0.263 0.763 0.500
0.444 0.444 0.000
```

***

[6]
Here is a crystal of SrZn2Sb relaxed with PBEsol from Alexandria via LeMat-Bulk. Energies are from SCAN.

- E_form (uncorrected): -0.295 eV per atom

POSCAR file:
```
SrZn2Sb
1.0
-2.090 2.099 5.669
2.090 -2.099 5.669
2.090 2.099 -5.669
Sr Zn Sb
1 2 1
direct
0.000 0.000 0.000
0.606 0.606 0.000
0.732 0.232 0.500
0.269 0.769 0.500
```

***

[7]
Here is a crystal of CsSICl2 relaxed with PBEsol from Alexandria via LeMat-Bulk. Energies are from SCAN.

- E_form (uncorrected): -0.626 eV per atom

POSCAR file:
```
CsSICl2
1.0
5.607 0.000 0.000
0.000 5.607 0.000
0.000 0.000 5.092
Cs S I Cl
1 1 1 2
direct
0.000 0.000 0.000
0.500 0.500 0.000
0.500 0.500 0.500
0.000 0.500 0.500
0.500 0.000 0.500
```

***

[8]
Here is a crystal of Co4Rh3 relaxed with PBEsol from Alexandria via LeMat-Bulk. Energies are from SCAN.

- DFT formation energy: 0.060 eV per atom

POSCAR file:
```
Co4Rh3
1.0
-1.299 1.299 12.242
1.299 -1.299 12.242
1.299 1.299 -12.242
Co Rh
4 3
direct
0.074 0.074 0.000
0.363 0.363 0.000
0.637 0.637 0.000
0.926 0.926 0.000
0.211 0.211 0.000
0.500 0.500 0.000
0.789 0.789 0.000
```